1.
Computed, not measured: a relaxed Dy2MnCo5Si2 crystal at the PBE level of DFT.

Values from the calculation:
Uncorrected formation energy in eV per atom: -0.35

Cell: 9.438 9.438 3.232 Å, 90.00 90.00 90.00°
Positions (direct):
Dy1 0.177 0.323 0.000
Dy2 0.323 0.823 0.000
Dy3 0.677 0.177 0.000
Dy4 0.823 0.677 0.000
Mn1 0.000 0.000 0.000
Mn2 0.500 0.500 0.000
Co1 0.000 0.500 0.500
Co2 0.064 0.787 0.500
Co3 0.213 0.064 0.500
Co4 0.287 0.564 0.500
Co5 0.436 0.287 0.500
Co6 0.500 0.000 0.500
Co7 0.564 0.713 0.500
Co8 0.713 0.436 0.500
Co9 0.787 0.936 0.500
Co10 0.936 0.213 0.500
Si1 0.121 0.621 0.000
Si2 0.379 0.121 0.000
Si3 0.621 0.879 0.000
Si4 0.879 0.379 0.000

---

2.
Computed, not measured: a relaxed Li2CaAl2Pd2 crystal at the PBE level of DFT.

Values from the calculation:
DFT formation energy in meV/atom: -512

Cell: 4.385 4.385 8.191 Å, 104.80 104.80 59.96°
Positions (direct):
Li1 0.073 0.073 0.221
Li2 0.927 0.927 0.779
Ca1 0.500 0.500 0.500
Al1 0.366 0.366 0.097
Al2 0.634 0.634 0.903
Pd1 0.261 0.261 0.781
Pd2 0.739 0.739 0.219

---

3.
Computed, not measured: a relaxed Bi4Pt4Pb3 crystal at the PBE level of DFT.

Values from the calculation:
DFT formation energy in meV/atom: -145

Cell: 9.308 9.308 9.308 Å, 153.48 129.31 58.11°
Positions (direct):
Bi1 0.044 0.832 0.212
Bi2 0.380 0.168 0.212
Bi3 0.620 0.832 0.788
Bi4 0.956 0.168 0.788
Pt1 0.216 0.716 0.500
Pt2 0.306 0.000 0.306
Pt3 0.694 0.000 0.694
Pt4 0.784 0.284 0.500
Pb1 0.000 0.500 0.500
Pb2 0.405 0.405 0.000
Pb3 0.595 0.595 0.000

---

4.
Computed, not measured: a relaxed Dy3Ni7Pd2 crystal at the PBE level of DFT.

Values from the calculation:
DFT formation energy in meV/atom: -481

Cell: 8.854 8.854 8.854 Å, 33.04 33.04 33.04°
Positions (direct):
Dy1 0.000 0.000 0.000
Dy2 0.140 0.140 0.140
Dy3 0.860 0.860 0.860
Ni1 0.086 0.588 0.588
Ni2 0.412 0.412 0.914
Ni3 0.412 0.914 0.412
Ni4 0.500 0.500 0.500
Ni5 0.588 0.086 0.588
Ni6 0.588 0.588 0.086
Ni7 0.914 0.412 0.412
Pd1 0.333 0.333 0.333
Pd2 0.667 0.667 0.667

---

Taking the records one at a time from the top gives E_tot values of -6.820 -3.897 -4.765 -5.869 eV/atom.